Record 1
Here is an optimized crystal structure of LaNd4Hg from the Alexandria database. Energies are from GGA-PBE.

Summary:
**Energy relative to the lowest polymorph listed for this composition**: 81 meV per atom
**M_tot**: 0.0 μB/cell
**Theoretical density**: 7.55 g/cm³
**Energy of formation**: -0.07 eV/atom
**E**: -4.1182 eV per atom

Cell lengths 9.0999, 14.2576, 6.5831 Å; angles 90.00, 109.37, 90.00 degrees
With the nearest neighbours (Å) after each atom.
Space group C2/c (No. 15)
Asymmetric unit:
La: 0.0000 0.0910 0.2500 [4 per cell]  8 Nd 3.51-3.72
Nd: 0.0981 0.3126 0.5479 [8 per cell]  2 Hg 3.24-3.25, 3 Nd 3.40-3.52
Nd: 0.2200 0.1166 0.8729 [8 per cell]  2 Hg 3.35-3.36, 2 Nd 3.40-3.47, 2 La 3.51-3.69
Hg: 0.0000 0.4987 0.2500 [4 per cell]  8 Nd 3.24-3.36, 2 Hg 3.29

Record 2
Here is an optimized crystal structure of Ac3Pm3HoSe8 from the Alexandria database. Energies are from GGA-PBE.

Summary:
**M_tot**: 0.0 μB/cell
**Theoretical density**: 7.05 g/cm³
**E**: -5.8160 eV per atom

Cell lengths 8.5168, 8.5168, 21.5290 Å; angles 90.00, 90.00, 120.00 degrees
With the nearest neighbours (Å) after each atom.
Space group R-3m (No. 166, hexagonal axes)
Asymmetric unit:
Ac: 0.0000 0.5000 0.0000 [9 per cell]  6 Se 3.12
Pm: 0.0000 0.5000 0.5000 [9 per cell]  6 Se 2.97-2.98
Ho: 0.0000 0.0000 0.5000 [3 per cell]  6 Se 2.93
Se: 0.0000 0.0000 0.2441 [6 per cell]  3 Pm 2.97, 3 Ac 3.12
Se: 0.0054 0.5027 0.2432 [18 per cell]  1 Ho 2.93, 2 Pm 2.98, 2 Ac 3.12

Q: Among the records above, which one has the highest E?
A: LaNd4Hg

Q: What is the formula in the first record?
A: LaNd4Hg